# GGA-PBE BaSrH3, relaxed
data_BaSrH3
_chemical_formula_sum 'Ba1 Sr1 H3'
_space_group_name_H-M_alt 'P m -3 m'
_space_group_IT_number 221
_space_group_name_Hall '-P 4 2 3'
_cell_length_a 4.678
_cell_length_b 4.678
_cell_length_c 4.678
_cell_angle_alpha 90.00
_cell_angle_beta 90.00
_cell_angle_gamma 90.00
loop_
_atom_site_label
_atom_site_type_symbol
_atom_site_fract_x
_atom_site_fract_y
_atom_site_fract_z
Ba1 Ba 0.000 0.000 0.000
Sr1 Sr 0.500 0.500 0.500
H1 H 0.000 0.500 0.500
# - DOS at the Fermi energy: 1.8 states/eV per cell
# - Energy above the most stable polymorph in this dataset: 106.5 meV per atom
# - DFT total energy: -15.32 eV/f.u.
# - Calculated volume: 20.47 Å³ per atom
# - Crystal system: cubic



# GGA-PBE KAlIn2, relaxed
data_KAlIn2
_chemical_formula_sum 'K2 Al2 In4'
_space_group_name_H-M_alt 'C 1 m 1'
_space_group_IT_number 8
_space_group_name_Hall 'C -2y'
_cell_length_a 9.728
_cell_length_b 3.222
_cell_length_c 7.730
_cell_angle_alpha 90.00
_cell_angle_beta 96.38
_cell_angle_gamma 90.00
loop_
_atom_site_label
_atom_site_type_symbol
_atom_site_fract_x
_atom_site_fract_y
_atom_site_fract_z
K1 K 0.000 0.000 0.000
Al1 Al 0.255 0.500 0.313
In1 In 0.241 0.000 0.683
In2 In 0.493 0.000 0.462
# - DOS at the Fermi energy: 3.6 states/eV per cell
# - DFT total energy: -9.97 eV/f.u.
# - DFT formation energy: 86 meV per atom
# - Calculated volume: 30.10 Å³ per atom
# - Crystal system: monoclinic



# GGA-PBE SrLiTa, relaxed
data_SrLiTa
_chemical_formula_sum 'Sr2 Li2 Ta2'
_space_group_name_H-M_alt 'P 63/m m c'
_space_group_IT_number 194
_space_group_name_Hall '-P 6c 2c'
_cell_length_a 4.1194
_cell_length_b 4.1194
_cell_length_c 11.0960
_cell_angle_alpha 90.00
_cell_angle_beta 90.00
_cell_angle_gamma 120.00
loop_
_atom_site_label
_atom_site_type_symbol
_atom_site_fract_x
_atom_site_fract_y
_atom_site_fract_z
Sr1 Sr 0.0000 0.0000 0.2500
Li1 Li 0.3333 0.6667 0.2500
Ta1 Ta 0.0000 0.0000 0.0000
# - DOS at the Fermi energy: 8.5 states/eV per cell
# - Energy above the most stable polymorph in this dataset: 2222.6 meV per atom
# - DFT total energy: -7.66 eV/f.u.
# - DFT formation energy: 2596 meV per atom
# - Calculated volume: 27.18 Å³ per atom
# - Crystal system: hexagonal



# GGA-PBE NaErSn2S4, relaxed
data_NaErSn2S4
_chemical_formula_sum 'Na1 Er1 Sn2 S4'
_space_group_name_H-M_alt 'P 1 2/m 1'
_space_group_IT_number 10
_space_group_name_Hall '-P 2y'
_cell_length_a 6.975
_cell_length_b 4.040
_cell_length_c 7.097
_cell_angle_alpha 90.00
_cell_angle_beta 108.30
_cell_angle_gamma 90.00
loop_
_atom_site_label
_atom_site_type_symbol
_atom_site_fract_x
_atom_site_fract_y
_atom_site_fract_z
Na1 Na 0.000 0.000 0.000
Er1 Er 0.500 0.500 0.000
Sn1 Sn 0.000 0.500 0.500
Sn2 Sn 0.500 0.000 0.500
S1 S 0.262 0.500 0.240
S2 S 0.267 0.000 0.770
# - Uncorrected formation energy: -1.052 eV/atom
# - DFT total energy: -38.81 eV/f.u.
# - Calculated volume: 23.74 Å³ per atom
# - Crystal system: monoclinic



# GGA-PBE Li2CoOs, relaxed
data_Li2CoOs
_chemical_formula_sum 'Li4 Co2 Os2'
_space_group_name_H-M_alt 'C 1 2/m 1'
_space_group_IT_number 12
_space_group_name_Hall '-C 2y'
_cell_length_a 9.168
_cell_length_b 2.515
_cell_length_c 4.475
_cell_angle_alpha 90.00
_cell_angle_beta 100.26
_cell_angle_gamma 90.00
loop_
_atom_site_label
_atom_site_type_symbol
_atom_site_fract_x
_atom_site_fract_y
_atom_site_fract_z
Li1 Li 0.245 0.000 0.250
Co1 Co 0.000 0.500 0.000
Os1 Os 0.000 0.000 0.500
# - DOS at the Fermi energy: 3.9 states/eV per cell
# - Energy above the most stable polymorph in this dataset: 0.0 meV per atom
# - DFT total energy: -21.65 eV/f.u.
# - DFT formation energy: 127 meV per atom
# - Calculated volume: 12.69 Å³ per atom
# - Crystal system: monoclinic



# GGA-PBE Ba2Al7Zn, relaxed
data_Ba2Al7Zn
_chemical_formula_sum 'Ba2 Al7 Zn1'
_space_group_name_H-M_alt 'P -4 m 2'
_space_group_IT_number 115
_space_group_name_Hall 'P -4 -2'
_cell_length_a 4.589
_cell_length_b 4.589
_cell_length_c 11.206
_cell_angle_alpha 90.00
_cell_angle_beta 90.00
_cell_angle_gamma 90.00
loop_
_atom_site_label
_atom_site_type_symbol
_atom_site_fract_x
_atom_site_fract_y
_atom_site_fract_z
Ba1 Ba 0.000 0.500 0.248
Al1 Al 0.000 0.000 0.000
Al2 Al 0.000 0.000 0.500
Al3 Al 0.000 0.500 0.632
Al4 Al 0.000 0.500 0.874
Al5 Al 0.500 0.500 0.500
Zn1 Zn 0.500 0.500 0.000
# - DOS at the Fermi energy: 2.8 states/eV per cell
# - DFT total energy: -33.69 eV/f.u.
# - DFT formation energy: -238 meV per atom
# - Calculated volume: 23.60 Å³ per atom
# - Crystal system: tetragonal



# GGA-PBE UGeO5, relaxed
data_UGeO5
_chemical_formula_sum 'U4 Ge4 O20'
_space_group_name_H-M_alt 'C 1 2/c 1'
_space_group_IT_number 15
_space_group_name_Hall '-C 2yc'
_cell_length_a 8.143
_cell_length_b 8.217
_cell_length_c 8.129
_cell_angle_alpha 90.00
_cell_angle_beta 119.77
_cell_angle_gamma 90.00
loop_
_atom_site_label
_atom_site_type_symbol
_atom_site_fract_x
_atom_site_fract_y
_atom_site_fract_z
U1 U 0.000 0.000 0.000
Ge1 Ge 0.000 0.371 0.250
O1 O 0.000 0.055 0.750
O2 O 0.001 0.243 0.427
O3 O 0.204 0.493 0.350
# - DOS at the Fermi energy: 0.0 states/eV per cell
# - Uncorrected formation energy: -2.419 eV/atom
# - DFT total energy: -57.63 eV/f.u.
# - Calculated volume: 16.86 Å³ per atom
# - Crystal system: monoclinic



# GGA-PBE SmFe3Si3, relaxed
data_SmFe3Si3
_chemical_formula_sum 'Sm6 Fe18 Si18'
_space_group_name_H-M_alt 'R -3'
_space_group_IT_number 148
_space_group_name_Hall '-R 3'
_cell_length_a 6.0793
_cell_length_b 6.0793
_cell_length_c 21.0868
_cell_angle_alpha 90.00
_cell_angle_beta 90.00
_cell_angle_gamma 120.00
loop_
_atom_site_label
_atom_site_type_symbol
_atom_site_fract_x
_atom_site_fract_y
_atom_site_fract_z
Sm1 Sm 0.0000 0.0000 0.1687
Fe1 Fe 0.0467 0.7641 0.7011
Si1 Si 0.0289 0.7760 0.5880
# - DOS at the Fermi energy: 36.2 states/eV per cell
# - Energy above the most stable polymorph in this dataset: 0.0 meV per atom
# - Uncorrected formation energy: -0.196 eV/atom
# - DFT total energy: -47.75 eV/f.u.
# - Calculated volume: 16.07 Å³ per atom
# - Crystal system: trigonal



# GGA-PBE Zn2Hg2Sb, relaxed
data_Zn2Hg2Sb
_chemical_formula_sum 'Zn4 Hg4 Sb2'
_space_group_name_H-M_alt 'I 4/m m m'
_space_group_IT_number 139
_space_group_name_Hall '-I 4 2'
_cell_length_a 4.171
_cell_length_b 4.171
_cell_length_c 12.926
_cell_angle_alpha 90.00
_cell_angle_beta 90.00
_cell_angle_gamma 90.00
loop_
_atom_site_label
_atom_site_type_symbol
_atom_site_fract_x
_atom_site_fract_y
_atom_site_fract_z
Zn1 Zn 0.000 0.000 0.095
Hg1 Hg 0.000 0.500 0.250
Sb1 Sb 0.000 0.000 0.500
# - DOS at the Fermi energy: 3.2 states/eV per cell
# - Energy above the most stable polymorph in this dataset: 27.3 meV per atom
# - Uncorrected formation energy: 0.190 eV/atom
# - DFT total energy: -6.32 eV/f.u.
# - Calculated volume: 22.48 Å³ per atom
# - Crystal system: tetragonal



# GGA-PBE Hf2Pd5Au5, relaxed
data_Hf2Pd5Au5
_chemical_formula_sum 'Hf4 Pd10 Au10'
_space_group_name_H-M_alt 'C 1 2/m 1'
_space_group_IT_number 12
_space_group_name_Hall '-C 2y'
_cell_length_a 12.044
_cell_length_b 4.061
_cell_length_c 9.297
_cell_angle_alpha 90.00
_cell_angle_beta 115.68
_cell_angle_gamma 90.00
loop_
_atom_site_label
_atom_site_type_symbol
_atom_site_fract_x
_atom_site_fract_y
_atom_site_fract_z
Hf1 Hf 0.085 0.000 0.245
Pd1 Pd 0.000 0.000 0.500
Pd2 Pd 0.163 0.000 0.996
Pd3 Pd 0.240 0.500 0.247
Au1 Au 0.000 0.500 0.000
Au2 Au 0.086 0.500 0.752
Au3 Au 0.164 0.500 0.499
# - DOS at the Fermi energy: 9.3 states/eV per cell
# - DFT total energy: -68.21 eV/f.u.
# - DFT formation energy: -496 meV per atom
# - Calculated volume: 17.07 Å³ per atom
# - Crystal system: monoclinic



# GGA-PBE SrCrCu, relaxed
data_SrCrCu
_chemical_formula_sum 'Sr2 Cr2 Cu2'
_space_group_name_H-M_alt 'I 4 m m'
_space_group_IT_number 107
_space_group_name_Hall 'I 4 -2'
_cell_length_a 3.508
_cell_length_b 3.508
_cell_length_c 11.138
_cell_angle_alpha 90.00
_cell_angle_beta 90.00
_cell_angle_gamma 90.00
loop_
_atom_site_label
_atom_site_type_symbol
_atom_site_fract_x
_atom_site_fract_y
_atom_site_fract_z
Sr1 Sr 0.000 0.000 0.000
Cr1 Cr 0.000 0.000 0.717
Cu1 Cu 0.000 0.000 0.297
# - DOS at the Fermi energy: 4.5 states/eV per cell
# - Energy above the most stable polymorph in this dataset: 49.4 meV per atom
# - DFT total energy: -13.89 eV/f.u.
# - DFT formation energy: 505 meV per atom
# - Calculated volume: 22.85 Å³ per atom
# - Crystal system: tetragonal



# GGA-PBE Be2GaTe4, relaxed
data_Be2GaTe4
_chemical_formula_sum 'Be4 Ga2 Te8'
_space_group_name_H-M_alt 'I -4 2 m'
_space_group_IT_number 121
_space_group_name_Hall 'I -4 2'
_cell_length_a 5.612
_cell_length_b 5.612
_cell_length_c 11.886
_cell_angle_alpha 90.00
_cell_angle_beta 90.00
_cell_angle_gamma 90.00
loop_
_atom_site_label
_atom_site_type_symbol
_atom_site_fract_x
_atom_site_fract_y
_atom_site_fract_z
Be1 Be 0.000 0.500 0.250
Ga1 Ga 0.000 0.000 0.000
Te1 Te 0.226 0.226 0.370
# - DOS at the Fermi energy: 6.5 states/eV per cell
# - Energy above the most stable polymorph in this dataset: 0.0 meV per atom
# - Uncorrected formation energy: -0.249 eV/atom
# - DFT total energy: -24.79 eV/f.u.
# - Calculated volume: 26.74 Å³ per atom
# - Crystal system: tetragonal



# GGA-PBE Ce2HoTl2, relaxed
data_Ce2HoTl2
_chemical_formula_sum 'Ce4 Ho2 Tl4'
_space_group_name_H-M_alt 'C 1 2/m 1'
_space_group_IT_number 12
_space_group_name_Hall '-C 2y'
_cell_length_a 5.954
_cell_length_b 6.082
_cell_length_c 8.274
_cell_angle_alpha 90.00
_cell_angle_beta 109.92
_cell_angle_gamma 90.00
loop_
_atom_site_label
_atom_site_type_symbol
_atom_site_fract_x
_atom_site_fract_y
_atom_site_fract_z
Ce1 Ce 0.000 0.226 0.000
Ho1 Ho 0.000 0.000 0.500
Tl1 Tl 0.087 0.500 0.687
# - DOS at the Fermi energy: 16.4 states/eV per cell
# - DFT total energy: -21.64 eV/f.u.
# - DFT formation energy: -92 meV per atom
# - Calculated volume: 28.17 Å³ per atom
# - Crystal system: monoclinic